(1)
The following is a GGA-PBEsol calculation of a geometry-optimized BaNbF2 structure, from Alexandria.

Calculated values
As for the density of states at the Fermi level: 13.1 states/eV/cell. As for the energy: -0.4289 Ry per atom. For the formation energy without anion corrections, the calculation gives -1.630 eV/atom.

Lattice parameters (Å, degrees): 3.2797 3.2797 23.7242 90.00 90.00 120.00
Space group R-3m (No. 166, hexagonal axes)
Asymmetric unit:
Ba: 0.0000 0.0000 0.0000 x3
Nb: 0.0000 0.0000 0.5000 x3
F: 0.0000 0.0000 0.4112 x6

***

(2)
The following is a GGA-PBEsol calculation of a geometry-optimized BaNbOF2 structure, from Alexandria.

Calculated values
As for the density of states at the Fermi level: 8.1 states/eV/cell. As for the energy: -0.3869 Ry per atom. For the formation energy without anion corrections, the calculation gives -0.849 eV/atom.

Lattice parameters (Å, degrees): 4.796 4.796 5.000 90.00 90.00 90.00
Space group P4/mmm (No. 123)
Asymmetric unit:
Ba: 0.000 0.000 0.000 x1
Nb: 0.500 0.500 0.500 x1
O: 0.000 0.000 0.500 x1
F: 0.000 0.500 0.000 x2

***

(3)
The following is a GGA-PBEsol calculation of a geometry-optimized BaNiF6 structure, from Alexandria.

Calculated values
As for the energy: -0.3641 Ry per atom. For the formation energy without anion corrections, the calculation gives -2.469 eV/atom.

Lattice parameters (Å, degrees): 7.2968 7.2968 6.9334 90.00 90.00 120.00
Space group R-3m (No. 166, hexagonal axes)
Asymmetric unit:
Ba: 0.0000 0.0000 0.0000 x3
Ni: 0.0000 0.0000 0.5000 x3
F: 0.1066 0.5533 0.3206 x18

***

(4)
The following is a GGA-PBEsol calculation of a geometry-optimized BaP2OF structure, from Alexandria.

Calculated values
As for the density of states at the Fermi level: 9.6 states/eV/cell. As for the energy: -0.2483 Ry per atom. For the formation energy without anion corrections, the calculation gives 0.804 eV/atom.

Lattice parameters (Å, degrees): 6.712 6.712 4.509 90.00 90.00 90.00
Space group P4/mmm (No. 123)
Asymmetric unit:
Ba: 0.000 0.000 0.000 x1
P: 0.000 0.500 0.000 x2
O: 0.000 0.000 0.500 x1
F: 0.500 0.500 0.500 x1

***

What did the first record say?
The following is a GGA-PBEsol calculation of a geometry-optimized BaNbF2 structure, from Alexandria.

Calculated values
As for the density of states at the Fermi level: 13.1 states/eV/cell. As for the energy: -0.4289 Ry per atom. For the formation energy without anion corrections, the calculation gives -1.630 eV/atom.

Lattice parameters (Å, degrees): 3.2797 3.2797 23.7242 90.00 90.00 120.00
Space group R-3m (No. 166, hexagonal axes)
Asymmetric unit:
Ba: 0.0000 0.0000 0.0000 x3
Nb: 0.0000 0.0000 0.5000 x3
F: 0.0000 0.0000 0.4112 x6